This record from Alexandria describes a relaxed Ce2AsRu crystal. The functional is GGA-PBE.

The formation enthalpy at 0 K comes out at -72 kJ per mole of atoms. For the excess energy over the best structure of this formula in the dataset, the calculation gives 0.000 eV per atom. The calculation puts the total energy at -7.199 eV per atom. The value obtained for the total magnetization is 0.2 μB per formula unit. The value obtained for the density of states at the Fermi level is 10.2 states/eV/cell.

Cell lengths 4.0380, 5.8185, 8.2423 Å; angles 90.00, 90.00, 90.00 degrees
Sites, in units of the cell vectors:
1 Ce 0.2500 0.2500 0.1278
2 Ce 0.2500 0.2500 0.6611
3 Ce 0.7500 0.7500 0.3389
4 Ce 0.7500 0.7500 0.8722
5 As 0.2500 0.7500 0.6047
6 As 0.7500 0.2500 0.3953
7 Ru 0.2500 0.7500 0.1146
8 Ru 0.7500 0.2500 0.8854



This record from Alexandria describes a relaxed Ca2La5Pr3 crystal. The functional is GGA-PBE.

The formation enthalpy at 0 K comes out at 17 kJ per mole of atoms. The calculation puts the total energy at -4.119 eV per atom. The value obtained for the total magnetization is 0.0 μB per formula unit. The value obtained for the density of states at the Fermi level is 35.5 states/eV/cell.

Cell lengths 9.4579, 9.4579, 10.4343 Å; angles 107.84, 107.84, 107.74 degrees
Sites, in units of the cell vectors:
1 Ca 0.0298 0.2779 0.0481
2 Ca 0.2779 0.0298 0.5481
3 Ca 0.7221 0.9702 0.4519
4 Ca 0.9702 0.7221 0.9519
5 La 0.1189 0.3637 0.7326
6 La 0.2296 0.7704 0.7500
7 La 0.2779 0.7221 0.2500
8 La 0.3637 0.1189 0.2326
9 La 0.4849 0.5151 0.2500
10 La 0.5151 0.4849 0.7500
11 La 0.6363 0.8811 0.7674
12 La 0.7221 0.2779 0.7500
13 La 0.7704 0.2296 0.2500
14 La 0.8811 0.6363 0.2674
15 Pr 0.0248 0.9752 0.7500
16 Pr 0.2161 0.4733 0.4380
17 Pr 0.4733 0.2161 0.9380
18 Pr 0.5267 0.7839 0.0620
19 Pr 0.7839 0.5267 0.5620
20 Pr 0.9752 0.0248 0.2500



This record from Alexandria describes a relaxed CdTeWI2 crystal. The functional is GGA-PBE.

The calculation puts the formation energy (no corrections) at 496 meV/atom. For the excess energy over the best structure of this formula in the dataset, the calculation gives 0.000 eV per atom. The calculation puts the total energy at -3.526 eV per atom. The value obtained for the total magnetization is 1.7 μB per formula unit. The value obtained for the density of states at the Fermi level is 3.0 states/eV/cell.

Cell lengths 5.7142, 5.7142, 5.2432 Å; angles 90.00, 90.00, 90.00 degrees
Sites, in units of the cell vectors:
1 Cd 0.0000 0.0000 0.0000
2 Te 0.5000 0.5000 0.0000
3 W 0.5000 0.5000 0.5000
4 I 0.0000 0.5000 0.5000
5 I 0.5000 0.0000 0.5000



This record from Alexandria describes a relaxed CuAgIr crystal. The functional is GGA-PBE.

The formation enthalpy at 0 K comes out at 74 kJ per mole of atoms. For the excess energy over the best structure of this formula in the dataset, the calculation gives 0.686 eV per atom. The calculation puts the total energy at -4.499 eV per atom. The value obtained for the total magnetization is 1.0 μB per formula unit. The value obtained for the density of states at the Fermi level is 6.0 states/eV/cell.

Cell lengths 4.1472, 4.1472, 4.1472 Å; angles 60.00, 60.00, 60.00 degrees
Sites, in units of the cell vectors:
1 Cu 0.0000 0.0000 0.0000
2 Ag 0.2500 0.2500 0.2500
3 Ir 0.7500 0.7500 0.7500



This record from Alexandria describes a relaxed ErTmCdNi crystal. The functional is GGA-PBE.

The formation enthalpy at 0 K comes out at -38 kJ per mole of atoms. For the excess energy over the best structure of this formula in the dataset, the calculation gives 0.000 eV per atom. The calculation puts the total energy at -4.328 eV per atom. The value obtained for the total magnetization is 0.0 μB per formula unit. The value obtained for the density of states at the Fermi level is 2.3 states/eV/cell.

Cell lengths 3.4102, 3.4102, 7.5510 Å; angles 90.00, 90.00, 90.00 degrees
Sites, in units of the cell vectors:
1 Er 0.0000 0.0000 0.0000
2 Tm 0.0000 0.0000 0.5769
3 Cd 0.5000 0.5000 0.2902
4 Ni 0.5000 0.5000 0.7856



This record from Alexandria describes a relaxed Ba3LaCl crystal. The functional is GGA-PBE.

The calculation puts the formation energy (no corrections) at -521 meV/atom. For the excess energy over the best structure of this formula in the dataset, the calculation gives 0.000 eV per atom. The calculation puts the total energy at -3.029 eV per atom. The value obtained for the total magnetization is 1.2 μB per formula unit. The value obtained for the density of states at the Fermi level is 7.7 states/eV/cell.

Cell lengths 6.2277, 6.2277, 6.2277 Å; angles 90.00, 90.00, 90.00 degrees
Sites, in units of the cell vectors:
1 Ba 0.0000 0.0000 0.5000
2 Ba 0.0000 0.5000 0.0000
3 Ba 0.5000 0.0000 0.0000
4 La 0.5000 0.5000 0.5000
5 Cl 0.0000 0.0000 0.0000



This record from Alexandria describes a relaxed NiOs crystal. The functional is GGA-PBE.

The formation enthalpy at 0 K comes out at 119 kJ per mole of atoms. The calculation puts the total energy at -7.271 eV per atom. The value obtained for the total magnetization is 0.0 μB per formula unit. The value obtained for the density of states at the Fermi level is 12.0 states/eV/cell.

Cell lengths 9.2093, 9.2093, 3.6369 Å; angles 90.00, 90.00, 120.00 degrees
Sites, in units of the cell vectors:
1 Ni 0.2125 0.4899 0.2500
2 Ni 0.2773 0.7875 0.2500
3 Ni 0.4899 0.2773 0.7500
4 Ni 0.5101 0.7227 0.2500
5 Ni 0.7227 0.2125 0.7500
6 Ni 0.7875 0.5101 0.7500
7 Os 0.0062 0.4202 0.7500
8 Os 0.4140 0.9938 0.7500
9 Os 0.4202 0.4140 0.2500
10 Os 0.5798 0.5860 0.7500
11 Os 0.5860 0.0062 0.2500
12 Os 0.9938 0.5798 0.2500



This record from Alexandria describes a relaxed K3TeI6 crystal. The functional is GGA-PBE.

The calculation puts the formation energy (no corrections) at -866 meV/atom. The calculation puts the total energy at -2.440 eV per atom. The value obtained for the total magnetization is 1.0 μB per formula unit. The value obtained for the density of states at the Fermi level is 3.2 states/eV/cell.

Cell lengths 8.5195, 8.6680, 14.5574 Å; angles 90.00, 115.99, 90.00 degrees
Sites, in units of the cell vectors:
1 K 0.0000 0.0000 0.0000
2 K 0.0000 0.5000 0.5000
3 K 0.2860 0.0965 0.7713
4 K 0.2860 0.4035 0.2713
5 K 0.7140 0.5965 0.7287
6 K 0.7140 0.9035 0.2287
7 Te 0.5000 0.0000 0.5000
8 Te 0.5000 0.5000 0.0000
9 I 0.1278 0.0277 0.2599
10 I 0.1278 0.4723 0.7599
11 I 0.3068 0.6805 0.0913
12 I 0.3068 0.8195 0.5913
13 I 0.3972 0.2077 0.0646
14 I 0.3972 0.2923 0.5646
15 I 0.6028 0.7077 0.4354
16 I 0.6028 0.7923 0.9354
17 I 0.6932 0.1805 0.4087
18 I 0.6932 0.3195 0.9087
19 I 0.8722 0.5277 0.2401
20 I 0.8722 0.9723 0.7401